Record 1
DFT (PBE) results for an optimized crystal structure of CoBIr3.

Summary:
The calculation puts the volume at 67.6 Å³ per cell. The formation energy is 279 meV per atom.

Lattice parameters (Å, degrees): 4.0738 4.0738 4.0738 90.00 90.00 90.00
Each line ends with the local moment (μB).
Positions (direct):
B  0.0000  0.0000  0.0000  0.02
Ir  0.0000  0.5000  0.0000  0.31
Ir  0.0000  0.0000  0.5000  0.32
Ir  0.5000  0.0000  0.0000  0.38
Co  0.5000  0.5000  0.5000  2.22

Record 2
DFT (PBE) results for an optimized crystal structure of CoBIr3.

Summary:
The calculation puts the volume at 86.9 Å³ per cell. The formation energy is 2263 meV per atom.

Lattice parameters (Å, degrees): 4.4286 4.4286 4.4286 90.00 90.00 90.00
Each line ends with the local moment (μB).
Positions (direct):
B  0.5000  0.5000  0.5000  -0.05
Ir  0.0000  0.5000  0.0000  0.55
Ir  0.0000  0.0000  0.5000  0.96
Ir  0.5000  0.0000  0.0000  0.29
Co  0.0000  0.0000  0.0000  1.39

Record 3
DFT (PBE) results for an optimized crystal structure of CoBIr2.

Summary:
The calculation puts the volume at 50.5 Å³ per cell. The formation energy is 181 meV per atom.

Lattice parameters (Å, degrees): 3.7667 3.7667 4.6474 66.09 66.09 60.00
Each line ends with the local moment (μB).
Positions (direct):
Co  0.4970  0.4970  0.5089  0.84
B  0.6672  0.6672  0.9985  -0.02
Ir  0.0635  0.0635  0.8094  0.05
Ir  0.2723  0.2723  0.1832  0.07